*w*
Ti2Pt2Au: relaxed, PBE.

a = 7.425 Å, b = 7.425 Å, c = 3.031 Å
α = 90.00°, β = 90.00°, γ = 90.00°
Sites, in units of the cell vectors:
Pt1 0.632 0.132 0.000
Ti1 0.834 0.334 0.500
Pt2 0.868 0.632 0.000
Ti2 0.166 0.666 0.500
Ti3 0.334 0.166 0.500
Au1 0.500 0.500 0.000
Pt3 0.132 0.368 0.000
Au2 0.000 0.000 0.000
Pt4 0.368 0.868 0.000
Ti4 0.666 0.834 0.500

density of states at the Fermi level = 3.5 states/eV/f.u.
magnetic moment = 0.000 μB per cell



*x*
Ti2Pt2Au: relaxed, PBE.

a = 4.248 Å, b = 4.248 Å, c = 5.626 Å
α = 97.52°, β = 97.52°, γ = 106.00°
Sites, in units of the cell vectors:
Pt1 0.199 0.801 0.500
Au1 0.000 0.000 0.000
Pt2 0.801 0.199 0.500
Ti1 0.423 0.423 0.740
Ti2 0.577 0.577 0.260

density of states at the Fermi level = 4.1 states/eV/f.u.
magnetic moment = 0.000 μB per cell



Order from most stable to least stable according to the calculation: *w*, *x*